The following is a DFT calculation (GGA-PBE) of Be2CuMo after structural relaxation.

Computed properties:
As for the crystal system: tetragonal. The value obtained for the energy of formation from the pure elements is 22 kJ per mole of atoms. Its energy above the lowest structure with this stoichiometry is 286 meV per atom. As for the total moment: 0.001 μB/cell.

Cell and atoms, written as extended XYZ:
```
4
Lattice="-1.747 1.747 3.732 1.747 -1.747 3.732 1.747 1.747 -3.732" Properties=species:S:1:pos:R:3 pbc="T T T"
Be 0.000 0.000 0.000
Be 0.000 1.747 1.866
Cu 1.747 0.000 1.866
Mo 0.000 0.000 3.732
```